BaZn3Au: optimized geometry, PBE-GGA.

Cell: 6.668 8.348 9.352 Å, 112.70 90.00 90.00°
Positions (direct):
Zn 0.998 0.651 0.599
Zn 0.494 0.171 0.615
Zn 0.498 0.349 0.901
Zn 0.295 0.080 0.896
Zn 0.502 0.651 0.099
Zn 0.795 0.920 0.604
Zn 0.705 0.920 0.104
Zn 0.994 0.829 0.885
Zn 0.205 0.080 0.396
Zn 0.506 0.829 0.385
Zn 0.002 0.349 0.401
Zn 0.006 0.171 0.115
Ba 0.003 0.660 0.231
Ba 0.503 0.340 0.269
Ba 0.997 0.340 0.769
Ba 0.497 0.660 0.731
Au 0.708 0.082 0.906
Au 0.792 0.082 0.406
Au 0.208 0.918 0.594
Au 0.292 0.918 0.094

Output
DOS at the Fermi energy = 0.456 states/eV/atom
Formation energy from the elements = -0.2979 eV per atom